Density functional theory data (PBE-GGA) for a relaxed MnHPd2 crystal. Values from VASP.

```
&SYSTEM
  ibrav = 0, nat = 4, ntyp = 3
/
ATOMIC_SPECIES
Mn 54.94 Mn.upf
H 1.01 H.upf
Pd 106.42 Pd.upf
ATOMIC_POSITIONS crystal
Mn 0.000 0.000 0.000
H 0.500 0.500 0.500
Pd 0.250 0.250 0.250
Pd 0.750 0.750 0.750
CELL_PARAMETERS angstrom
0.000 2.951 2.951
2.951 0.000 2.951
2.951 2.951 0.000
```

## Properties
space-group type = Fm-3m (225)
distance to the lowest polymorph of the same formula = 0.3150 eV/atom
energy = -0.403 Ry per atom